A plane-wave DFT calculation with PBE-GGA was carried out for a relaxed Cd4SeCl crystal.

abc: 5.8723 5.8723 5.8723
angles: 60.00 60.00 60.00
Element x y z (fractional)
1 Cd 0.1254 0.1254 0.1254
2 Cd 0.1254 0.1254 0.6239
3 Cd 0.1254 0.6239 0.1254
4 Cd 0.6239 0.1254 0.1254
5 Se 0.5000 0.5000 0.5000
6 Cl 0.7500 0.7500 0.7500

As for the formation energy (no corrections): -0.020 eV/atom. The calculation puts the uncorrected energy at -1.5189 eV per atom. The spin magnetization comes out at 0.00 μB per atom. Its space group is F-43m, No. 216. The calculation puts the theoretical density at 6.5 g/cm³.